# LiHf2Zn2 (PBE-GGA, relaxed)
data_LiHf2Zn2
_chemical_formula_sum 'Li2 Hf4 Zn4'
_cell_length_a 8.3179
_cell_length_b 8.3179
_cell_length_c 2.8659
_cell_angle_alpha 90.00
_cell_angle_beta 90.00
_cell_angle_gamma 90.00
_symmetry_space_group_name_H-M 'P 4/m b m'
_symmetry_Int_Tables_number 127
_symmetry_space_group_name_Hall '-P 4 2ab'
loop_
_atom_site_label
_atom_site_type_symbol
_atom_site_fract_x
_atom_site_fract_y
_atom_site_fract_z
Li1 Li 0.0000 0.0000 0.0000
Hf1 Hf 0.1289 0.3711 0.0000
Zn1 Zn 0.1681 0.6681 0.5000
# - total moment (μB/f.u.) = 0.00
# - crystal system = tetragonal
# - polymorph energy (0 for the lowest one) (meV per atom) = 167
# - formation enthalpy at 0 K (eV/atom) = 0.114
# - calculated volume (Å³/cell) = 198.3